No. 1
The following is a GGA-PBE calculation of an optimized crystal structure of PmYS2, from OQMD.

a b c (Å): 3.9742 3.9742 5.6219
angles (deg): 90.00 90.00 90.00
Fractional positions:
Pm  0.5000  0.5000  0.5000
S  0.0000  0.0000  0.5000
S  0.5000  0.5000  0.0000
Y  0.0000  0.0000  0.0000

Space-group type: P4/mmm (123)
Crystal system: tetragonal
E_tot: -6.872 eV per atom



No. 2
The following is a GGA-PBE calculation of an optimized crystal structure of PmSb2, from OQMD.

a b c (Å): 6.2871 6.2871 6.2871
angles (deg): 60.00 60.00 60.00
Each line ends with the local moment (μB).
Fractional positions:
Sb  0.1250  0.6250  0.6250  0.00
Sb  0.6250  0.6250  0.6250  -0.01
Sb  0.6250  0.1250  0.6250  0.00
Sb  0.6250  0.6250  0.1250  0.00
Pm  0.0000  0.0000  0.0000  0.07
Pm  0.2500  0.2500  0.2500  0.07

Space-group type: Fd-3m (227)
Energy relative to the lowest polymorph listed for this composition: 93 meV per atom
Crystal system: cubic



No. 3
The following is a GGA-PBE calculation of an optimized crystal structure of Pm5Sb3, from OQMD.

a b c (Å): 9.2498 9.2498 6.4626
angles (deg): 90.00 90.00 120.00
Fractional positions:
Sb  0.3871  0.3871  0.7500
Sb  0.0000  0.3871  0.2500
Sb  0.6129  0.0000  0.7500
Sb  0.3871  0.0000  0.2500
Sb  0.6129  0.6129  0.2500
Sb  0.0000  0.6129  0.7500
Pm  0.0000  0.2491  0.7500
Pm  0.0000  0.7509  0.2500
Pm  0.7509  0.7509  0.7500
Pm  0.3333  0.6667  0.5000
Pm  0.6667  0.3333  0.0000
Pm  0.3333  0.6667  0.0000
Pm  0.7509  0.0000  0.2500
Pm  0.2491  0.2491  0.2500
Pm  0.6667  0.3333  0.5000
Pm  0.2491  0.0000  0.7500

Space-group type: P6_3/mcm (193)
Crystal system: hexagonal
E_tot: -5.489 eV per atom



No. 4
The following is a GGA-PBE calculation of an optimized crystal structure of PmSb2, from OQMD.

a b c (Å): 5.2489 5.2489 5.2489
angles (deg): 60.00 60.00 60.00
Fractional positions:
Sb  0.2500  0.2500  0.2500
Sb  0.7500  0.7500  0.7500
Pm  0.0000  0.0000  0.0000

Space-group type: Fm-3m (225)
Energy relative to the lowest polymorph listed for this composition: 0 meV per atom
Crystal system: cubic



No. 5
The following is a GGA-PBE calculation of an optimized crystal structure of PmSb2, from OQMD.

a b c (Å): 9.8512 9.8512 9.8512
angles (deg): 60.00 60.00 60.00
Fractional positions:
Sb  0.3750  0.8750  0.3750
Sb  0.3750  0.3750  0.8750
Sb  0.8750  0.3750  0.3750
Sb  0.3750  0.3750  0.3750
Pm  0.2500  0.2500  0.2500
Pm  0.5000  0.5000  0.5000

Space-group type: Fd-3m (227)
Energy relative to the lowest polymorph listed for this composition: 1006 meV per atom
Crystal system: cubic



No. 6
The following is a GGA-PBE calculation of an optimized crystal structure of Pm2SbSe, from OQMD.

a b c (Å): 4.3540 4.3540 6.1562
angles (deg): 90.00 90.00 90.00
Fractional positions:
Pm  0.5000  0.5000  0.0000
Pm  0.0000  0.0000  0.5000
Sb  0.0000  0.0000  0.0000
Se  0.5000  0.5000  0.5000

Space-group type: P4/mmm (123)
Crystal system: tetragonal
E_tot: -5.783 eV per atom



No. 7
The following is a GGA-PBE calculation of an optimized crystal structure of PmSiSb, from OQMD.

a b c (Å): 4.9026 4.9026 4.9026
angles (deg): 60.00 60.00 60.00
Fractional positions:
Sb  0.7500  0.7500  0.7500
Pm  0.2500  0.2500  0.2500
Si  0.0000  0.0000  0.0000

Space-group type: F-43m (216)
Energy relative to the lowest polymorph listed for this composition: 0 meV per atom
Crystal system: cubic



No. 8
The following is a GGA-PBE calculation of an optimized crystal structure of Pm2SiSb, from OQMD.

a b c (Å): 4.3685 4.3685 6.1729
angles (deg): 90.00 90.00 90.00
Fractional positions:
Pm  0.5000  0.5000  0.0000
Pm  0.0000  0.0000  0.5000
Si  0.5000  0.5000  0.5000
Sb  0.0000  0.0000  0.0000

Space-group type: P4/mmm (123)
Crystal system: tetragonal
E_tot: -5.537 eV per atom



No. 9
The following is a GGA-PBE calculation of an optimized crystal structure of PmSmSb, from OQMD.

a b c (Å): 5.1891 5.1891 5.1891
angles (deg): 60.00 60.00 60.00
Fractional positions:
Sm  0.0000  0.0000  0.0000
Sb  0.2500  0.2500  0.2500
Pm  0.5000  0.5000  0.5000

Space-group type: F-43m (216)
Energy relative to the lowest polymorph listed for this composition: 0 meV per atom
Crystal system: cubic



No. 10
The following is a GGA-PBE calculation of an optimized crystal structure of PmSmSb2, from OQMD.

a b c (Å): 4.4778 4.4778 6.3327
angles (deg): 90.00 90.00 90.00
Fractional positions:
Sm  0.5000  0.5000  0.0000
Sb  0.0000  0.0000  0.0000
Sb  0.5000  0.5000  0.5000
Pm  0.0000  0.0000  0.5000

Space-group type: P4/mmm (123)
Crystal system: tetragonal
E_tot: -5.611 eV per atom



No. 11
The following is a GGA-PBE calculation of an optimized crystal structure of Pm5Sn2Sb2, from OQMD.

a b c (Å): 8.9340 8.9340 8.3687
angles (deg): 90.00 90.00 55.49
Fractional positions:
Pm  0.6931  0.0337  0.8335
Pm  0.4663  0.8069  0.6665
Pm  0.1931  0.5337  0.6665
Pm  0.5000  0.5000  0.0000
Pm  0.0000  0.0000  0.5000
Pm  0.0337  0.6931  0.1665
Pm  0.5337  0.1931  0.3335
Pm  0.3069  0.9663  0.1665
Pm  0.8069  0.4663  0.3335
Pm  0.9663  0.3069  0.8335
Sb  0.2972  0.2972  0.0000
Sb  0.7028  0.7028  0.0000
Sb  0.7972  0.7972  0.5000
Sb  0.2028  0.2028  0.5000
Sn  0.3691  0.6309  0.3689
Sn  0.8691  0.1309  0.1311
Sn  0.6309  0.3691  0.6311
Sn  0.1309  0.8691  0.8689

Space-group type: Cmce (64)
Crystal system: orthorhombic
E_tot: -5.396 eV per atom



No. 12
The following is a GGA-PBE calculation of an optimized crystal structure of TbPmSb, from OQMD.

a b c (Å): 5.1449 5.1449 5.1449
angles (deg): 60.00 60.00 60.00
Fractional positions:
Sb  0.0000  0.0000  0.0000
Tb  0.7500  0.7500  0.7500
Pm  0.2500  0.2500  0.2500

Space-group type: F-43m (216)
Crystal system: cubic
E_tot: -5.097 eV per atom



No. 13
The following is a GGA-PBE calculation of an optimized crystal structure of PmTcSb, from OQMD.

a b c (Å): 4.8032 4.8032 4.8032
angles (deg): 60.00 60.00 60.00
Each line ends with the local moment (μB).
Fractional positions:
Pm  0.2500  0.2500  0.2500  -0.01
Tc  0.7500  0.7500  0.7500  1.39
Sb  0.0000  0.0000  0.0000  -0.01

Space-group type: F-43m (216)
Energy relative to the lowest polymorph listed for this composition: 0 meV per atom
Crystal system: cubic



No. 14
The following is a GGA-PBE calculation of an optimized crystal structure of PmTcSb, from OQMD.

a b c (Å): 4.9249 4.9249 4.9249
angles (deg): 60.00 60.00 60.00
Fractional positions:
Tc  0.7500  0.7500  0.7500
Sb  0.2500  0.2500  0.2500
Pm  0.0000  0.0000  0.0000

Space-group type: F-43m (216)
Energy relative to the lowest polymorph listed for this composition: 642 meV per atom
Crystal system: cubic



No. 15
The following is a GGA-PBE calculation of an optimized crystal structure of PmTlSb, from OQMD.

a b c (Å): 5.1896 5.1896 5.1896
angles (deg): 60.00 60.00 60.00
Fractional positions:
Tl  0.0000  0.0000  0.0000
Pm  0.2500  0.2500  0.2500
Sb  0.7500  0.7500  0.7500

Space-group type: F-43m (216)
Crystal system: cubic
E_tot: -3.891 eV per atom



No. 16
The following is a GGA-PBE calculation of an optimized crystal structure of PmTmSb2, from OQMD.

a b c (Å): 4.4129 4.4129 6.2414
angles (deg): 90.00 90.00 90.00
Fractional positions:
Tm  0.5000  0.5000  0.5000
Sb  0.5000  0.5000  0.0000
Sb  0.0000  0.0000  0.5000
Pm  0.0000  0.0000  0.0000

Space-group type: P4/mmm (123)
Crystal system: tetragonal
E_tot: -5.476 eV per atom



No. 17
The following is a GGA-PBE calculation of an optimized crystal structure of Pm3Tm2Sb3, from OQMD.

a b c (Å): 9.0727 9.0727 6.3820
angles (deg): 90.00 90.00 120.00
Fractional positions:
Tm  0.3333  0.6667  0.5000
Tm  0.6667  0.3333  0.0000
Tm  0.3333  0.6667  0.0000
Tm  0.6667  0.3333  0.5000
Sb  0.0000  0.3936  0.2500
Sb  0.6064  0.6064  0.2500
Sb  0.3936  0.0000  0.2500
Sb  0.3936  0.3936  0.7500
Sb  0.0000  0.6064  0.7500
Sb  0.6064  0.0000  0.7500
Pm  0.0000  0.2477  0.7500
Pm  0.2477  0.2477  0.2500
Pm  0.7523  0.7523  0.7500
Pm  0.0000  0.7523  0.2500
Pm  0.2477  0.0000  0.7500
Pm  0.7523  0.0000  0.2500

Space-group type: P6_3/mcm (193)
Crystal system: hexagonal
E_tot: -5.376 eV per atom



No. 18
The following is a GGA-PBE calculation of an optimized crystal structure of PmYSb2, from OQMD.

a b c (Å): 4.4410 4.4410 6.2808
angles (deg): 90.00 90.00 90.00
Fractional positions:
Sb  0.5000  0.5000  0.0000
Sb  0.0000  0.0000  0.5000
Y  0.5000  0.5000  0.5000
Pm  0.0000  0.0000  0.0000

Space-group type: P4/mmm (123)
Crystal system: tetragonal
E_tot: -6.034 eV per atom



No. 19
The following is a GGA-PBE calculation of an optimized crystal structure of Pm2ZnSb4, from OQMD.

a b c (Å): 4.3846 4.3846 10.0218
angles (deg): 90.00 90.00 90.00
Fractional positions:
Sb  0.5000  0.5000  0.5000
Sb  0.0000  0.0000  0.5000
Sb  0.0000  0.5000  0.8442
Sb  0.5000  0.0000  0.1558
Pm  0.0000  0.5000  0.2500
Pm  0.5000  0.0000  0.7500
Zn  0.5000  0.5000  0.0000

Space-group type: P-4m2 (115)
Crystal system: tetragonal
E_tot: -4.614 eV per atom



No. 20
The following is a GGA-PBE calculation of an optimized crystal structure of PmSc2, from OQMD.

a b c (Å): 6.2526 6.2526 6.2526
angles (deg): 60.00 60.00 60.00
Each line ends with the local moment (μB).
Fractional positions:
Sc  0.1250  0.6250  0.6250  0.65
Sc  0.6250  0.1250  0.6250  0.55
Sc  0.6250  0.6250  0.6250  0.57
Sc  0.6250  0.6250  0.1250  0.55
Pm  0.0000  0.0000  0.0000  0.53
Pm  0.2500  0.2500  0.2500  0.53

Space-group type: Fd-3m (227)
Energy relative to the lowest polymorph listed for this composition: 0 meV per atom
Energy of formation from the pure elements: 0.234 eV per atom
Crystal system: cubic



No. 21
The following is a GGA-PBE calculation of an optimized crystal structure of Pm2Sc, from OQMD.

a b c (Å): 6.4561 6.4561 6.4561
angles (deg): 60.00 60.00 60.00
Fractional positions:
Pm  0.6250  0.1250  0.6250
Pm  0.6250  0.6250  0.6250
Pm  0.6250  0.6250  0.1250
Pm  0.1250  0.6250  0.6250
Sc  0.2500  0.2500  0.2500
Sc  0.0000  0.0000  0.0000

Space-group type: Fd-3m (227)
Energy relative to the lowest polymorph listed for this composition: 0 meV per atom
Energy of formation from the pure elements: 0.363 eV per atom
Crystal system: cubic



No. 22
The following is a GGA-PBE calculation of an optimized crystal structure of PmSc2, from OQMD.

a b c (Å): 8.2500 8.2500 8.2500
angles (deg): 60.00 60.00 60.00
Fractional positions:
Pm  0.5000  0.5000  0.5000
Pm  0.2500  0.2500  0.2500
Sc  0.8750  0.3750  0.3750
Sc  0.3750  0.8750  0.3750
Sc  0.3750  0.3750  0.3750
Sc  0.3750  0.3750  0.8750

Space-group type: Fd-3m (227)
Energy relative to the lowest polymorph listed for this composition: 2375 meV per atom
Energy of formation from the pure elements: 2.609 eV per atom
Crystal system: cubic



No. 23
The following is a GGA-PBE calculation of an optimized crystal structure of Pm2Sc, from OQMD.

a b c (Å): 8.6228 8.6228 8.6228
angles (deg): 60.00 60.00 60.00
Fractional positions:
Pm  0.1250  0.1250  0.1250
Pm  0.1250  0.6250  0.1250
Pm  0.6250  0.1250  0.1250
Pm  0.1250  0.1250  0.6250
Sc  0.2500  0.2500  0.2500
Sc  0.0000  0.0000  0.0000

Space-group type: Fd-3m (227)
Energy relative to the lowest polymorph listed for this composition: 1841 meV per atom
Energy of formation from the pure elements: 2.204 eV per atom
Crystal system: cubic



No. 24
The following is a GGA-PBE calculation of an optimized crystal structure of PmScSi, from OQMD.

a b c (Å): 4.7734 4.7734 4.7734
angles (deg): 60.00 60.00 60.00
Fractional positions:
Pm  0.2500  0.2500  0.2500
Sc  0.7500  0.7500  0.7500
Si  0.0000  0.0000  0.0000

Space-group type: F-43m (216)
Energy relative to the lowest polymorph listed for this composition: 0 meV per atom
Crystal system: cubic



No. 25
The following is a GGA-PBE calculation of an optimized crystal structure of PmSmSc, from OQMD.

a b c (Å): 5.3172 5.3172 5.3172
angles (deg): 60.00 60.00 60.00
Fractional positions:
Sm  0.7500  0.7500  0.7500
Sc  0.0000  0.0000  0.0000
Pm  0.2500  0.2500  0.2500

Space-group type: F-43m (216)
Energy relative to the lowest polymorph listed for this composition: 0 meV per atom
Energy of formation from the pure elements: 0.659 eV per atom
Crystal system: cubic



No. 26
The following is a GGA-PBE calculation of an optimized crystal structure of Pm3Sc2Sn3, from OQMD.

a b c (Å): 8.9627 8.9627 6.3707
angles (deg): 90.00 90.00 120.00
Fractional positions:
Sc  0.6667  0.3333  0.0000
Sc  0.6667  0.3333  0.5000
Sc  0.3333  0.6667  0.0000
Sc  0.3333  0.6667  0.5000
Sn  0.4020  0.4020  0.7500
Sn  0.5980  0.0000  0.7500
Sn  0.4020  0.0000  0.2500
Sn  0.5980  0.5980  0.2500
Sn  0.0000  0.4020  0.2500
Sn  0.0000  0.5980  0.7500
Pm  0.2421  0.2421  0.2500
Pm  0.2421  0.0000  0.7500
Pm  0.0000  0.2421  0.7500
Pm  0.7579  0.0000  0.2500
Pm  0.7579  0.7579  0.7500
Pm  0.0000  0.7579  0.2500

Space-group type: P6_3/mcm (193)
Crystal system: hexagonal
E_tot: -5.565 eV per atom



No. 27
The following is a GGA-PBE calculation of an optimized crystal structure of PmScTl, from OQMD.

a b c (Å): 5.1306 5.1306 5.1306
angles (deg): 60.00 60.00 60.00
Fractional positions:
Sc  0.2500  0.2500  0.2500
Pm  0.0000  0.0000  0.0000
Tl  0.7500  0.7500  0.7500

Space-group type: F-43m (216)
Energy relative to the lowest polymorph listed for this composition: 467 meV per atom
Crystal system: cubic



no.,total magnetic moment (μB/cell)
1,0.008
2,0.263
3,0.029
4,0.009
5,0.051
6,0.007
7,0.020
8,0.003
9,0.035
10,0.004
11,0.091
12,0.028
13,1.632
14,1.645
15,0.006
16,0.001
17,0.131
18,0.000
19,0.005
20,6.428
21,0.039
22,0.092
23,0.151
24,0.004
25,0.055
26,0.059
27,0.485